This record from Alexandria via LeMat-Bulk describes a geometry-optimized Tb2ErPuS6 structure. The functional is GGA-PBE.

```
10
Lattice="-0.148 -5.499 -4.223 -3.341 -5.763 1.927 -6.376 -1.606 -3.379" Properties=species:S:1:pos:R:3 pbc="T T T"
Tb -4.660 -6.546 -2.701
Tb -6.118 -1.713 -3.249
Er -1.422 -3.647 -0.895
Pu -6.374 -10.074 -3.742
S -2.411 -5.018 -3.011
S -4.704 -6.903 0.013
S -3.776 -8.992 -3.555
S -7.253 -7.591 -2.917
S -5.316 -5.825 -5.330
S -6.206 -4.249 -2.260
```

- SG: No. 146
- Total DFT energy (no corrections): -7.210 eV per atom
- Calculated volume: 258.8 Å³/cell
- Crystal system: trigonal